(1)
Ac2NbN4 (PBE-GGA, optimized geometry); symmetry = P2_1/m (11); E_form (uncorrected) = -0.86 eV/atom; ρ = 7.3 g/cm3
1.0
-1.1045 6.1990 -0.2235
-3.4632 -0.4273 5.2642
6.0890 -1.3060 3.8998
N Nb Ac
8 2 4
direct
0.4421 0.9886 0.2585 N
0.0119 0.7500 0.3333 N
0.9881 0.2500 0.6667 N
0.9573 0.2500 0.0777 N
0.4421 0.5114 0.2585 N
0.5579 0.0114 0.7415 N
0.0427 0.7500 0.9223 N
0.5579 0.4886 0.7415 N
0.2295 0.7500 0.1967 Nb
0.7705 0.2500 0.8033 Nb
0.2300 0.2500 0.4452 Ac
0.7700 0.7500 0.5548 Ac
0.3301 0.2500 0.9839 Ac
0.6699 0.7500 0.0161 Ac

(2)
Hg2RuI (PBE-GGA, optimized geometry); symmetry = I-42d (122); E_form (uncorrected) = 0.73 eV/atom; energy relative to the lowest polymorph listed for this composition = 0 meV per atom; ρ = 11.0 g/cm3
1.0
4.1470 0.0000 0.0000
0.0000 4.1470 0.0000
2.0735 2.0735 11.0122
Ru I Hg
2 2 4
direct
0.5000 0.5000 0.0000 Ru
0.2500 0.7500 0.5000 Ru
0.7500 0.2500 0.5000 I
0.0000 0.0000 0.0000 I
0.1456 0.6250 0.2500 Hg
0.3750 0.3956 0.7500 Hg
0.6044 0.1250 0.2500 Hg
0.8750 0.8544 0.7500 Hg

(3)
HfAl2Te6 (PBE-GGA, optimized geometry); symmetry = C2/c (15); E_form (uncorrected) = -0.41 eV/atom; ρ = 5.4 g/cm3
1.0
-5.5216 -1.5014 5.0862
4.6457 -4.5337 6.3924
0.4899 7.3331 5.3838
Te Al Hf
12 4 2
direct
0.8667 0.1901 0.0248 Te
0.0877 0.4766 0.3362 Te
0.6333 0.9752 0.8099 Te
0.9123 0.5234 0.6638 Te
0.3119 0.3843 0.9545 Te
0.5877 0.3362 0.4766 Te
0.4123 0.6638 0.5234 Te
0.6881 0.6157 0.0455 Te
0.1333 0.8099 0.9752 Te
0.1881 0.0455 0.6157 Te
0.3667 0.0248 0.1901 Te
0.8119 0.9545 0.3843 Te
0.1880 0.5977 0.7780 Al
0.3120 0.2220 0.4023 Al
0.6880 0.7780 0.5977 Al
0.8120 0.4023 0.2220 Al
0.2500 0.0993 0.9007 Hf
0.7500 0.9007 0.0993 Hf

(4)
LiBiTe2I (PBE-GGA, optimized geometry); symmetry = P4/mmm (123); E_form (uncorrected) = 0.15 eV/atom; energy relative to the lowest polymorph listed for this composition = 123 meV per atom; ρ = 6.6 g/cm3
1.0
4.9645 0.0000 0.0000
0.0000 6.1224 0.0000
0.0000 0.0000 4.9645
I Te Li Bi
1 2 1 1
direct
0.5000 0.5000 0.5000 I
0.5000 0.0000 0.0000 Te
0.0000 0.0000 0.5000 Te
0.0000 0.0000 0.0000 Li
0.0000 0.5000 0.0000 Bi